No. 1
First-principles (SCAN) data for a crystal of Na2NiH8S2O12 relaxed with PBEsol, as listed in Alexandria.

The value obtained for the calculated density is 2.6 Mg/m³. Its raw total energy is -366.3 eV/cell.

Lattice parameters (Å, degrees): 5.450 8.129 10.947 90.00 99.85 90.00
Positions (direct):
1 Na 0.117 0.075 0.363
2 Na 0.117 0.425 0.863
3 Na 0.883 0.575 0.137
4 Na 0.883 0.925 0.637
5 Ni 0.000 0.000 0.000
6 Ni 0.000 0.500 0.500
7 H 0.222 0.636 0.345
8 H 0.222 0.864 0.845
9 H 0.233 0.061 0.820
10 H 0.233 0.439 0.320
11 H 0.240 0.729 0.006
12 H 0.240 0.771 0.506
13 H 0.328 0.692 0.636
14 H 0.328 0.808 0.136
15 H 0.672 0.192 0.864
16 H 0.672 0.308 0.364
17 H 0.760 0.229 0.494
18 H 0.760 0.271 0.994
19 H 0.767 0.561 0.680
20 H 0.767 0.939 0.180
21 H 0.778 0.136 0.155
22 H 0.778 0.364 0.655
23 S 0.381 0.215 0.637
24 S 0.381 0.285 0.137
25 S 0.619 0.715 0.863
26 S 0.619 0.785 0.363
27 O 0.121 0.532 0.337
28 O 0.121 0.968 0.837
29 O 0.174 0.712 0.574
30 O 0.174 0.788 0.074
31 O 0.219 0.083 0.579
32 O 0.219 0.417 0.079
33 O 0.320 0.123 0.076
34 O 0.320 0.377 0.576
35 O 0.351 0.679 0.871
36 O 0.351 0.821 0.371
37 O 0.366 0.226 0.773
38 O 0.366 0.274 0.273
39 O 0.634 0.726 0.727
40 O 0.634 0.774 0.227
41 O 0.649 0.179 0.629
42 O 0.649 0.321 0.129
43 O 0.680 0.623 0.424
44 O 0.680 0.877 0.924
45 O 0.781 0.583 0.921
46 O 0.781 0.917 0.421
47 O 0.826 0.212 0.926
48 O 0.826 0.288 0.426
49 O 0.879 0.032 0.163
50 O 0.879 0.468 0.663

---

No. 2
First-principles (SCAN) data for a crystal of FeBiSe2 relaxed with PBEsol, as listed in Alexandria.

The value obtained for the calculated density is 8.0 Mg/m³. The formation energy from raw total energies is -15 kJ/mol of atoms.

Lattice parameters (Å, degrees): 8.611 8.611 8.611 23.26 23.26 23.26
Positions (direct):
1 Fe 0.000 0.000 0.000
2 Bi 0.500 0.500 0.500
3 Se 0.383 0.383 0.383
4 Se 0.617 0.617 0.617